This record from Alexandria describes an optimized crystal structure of TlCdPS4. The functional is GGA-PBE.

Calculated values
E_form (uncorrected): -2.70 eV per formula unit

Lattice parameters (Å, degrees): 6.203 6.864 8.938 90.00 108.22 90.00
Space group P2_1/m (No. 11)
Asymmetric unit:
Tl: 0.210 0.250 0.069 [2 per cell]
Cd: 0.202 0.250 0.524 [2 per cell]
P: 0.190 0.750 0.310 [2 per cell]
S: 0.034 0.016 0.709 [4 per cell]
S: 0.319 0.750 0.130 [2 per cell]
S: 0.422 0.750 0.531 [2 per cell]

This record from Alexandria describes an optimized crystal structure of YCdPS2. The functional is GGA-PBE.

Calculated values
E_form (uncorrected): -0.08 eV per formula unit

Lattice parameters (Å, degrees): 4.922 4.922 4.886 90.00 90.00 90.00
Space group P4/mmm (No. 123)
Asymmetric unit:
Y: 0.000 0.000 0.000 [1 per cell]
Cd: 0.500 0.500 0.500 [1 per cell]
P: 0.500 0.500 0.000 [1 per cell]
S: 0.000 0.500 0.500 [2 per cell]

This record from Alexandria describes an optimized crystal structure of YCd2PS. The functional is GGA-PBE.

Calculated values
E_form (uncorrected): -0.08 eV per formula unit

Lattice parameters (Å, degrees): 4.957 4.957 5.232 90.00 90.00 90.00
Space group P4/mmm (No. 123)
Asymmetric unit:
Y: 0.000 0.000 0.000 [1 per cell]
Cd: 0.000 0.500 0.500 [2 per cell]
P: 0.500 0.500 0.000 [1 per cell]
S: 0.000 0.000 0.500 [1 per cell]

This record from Alexandria describes an optimized crystal structure of YCdPS2. The functional is GGA-PBE.

Calculated values
E_form (uncorrected): -0.21 eV per formula unit

Lattice parameters (Å, degrees): 5.186 5.186 5.464 90.00 90.00 90.00
Space group P4/mmm (No. 123)
Asymmetric unit:
Y: 0.000 0.000 0.000 [1 per cell]
Cd: 0.500 0.500 0.500 [1 per cell]
P: 0.000 0.000 0.500 [1 per cell]
S: 0.000 0.500 0.000 [2 per cell]

This record from Alexandria describes an optimized crystal structure of ZnCdP2S. The functional is GGA-PBE.

Calculated values
E_form (uncorrected): 3.78 eV per formula unit

Lattice parameters (Å, degrees): 4.604 4.604 4.862 90.00 90.00 90.00
Space group P4/mmm (No. 123)
Asymmetric unit:
Zn: 0.000 0.000 0.000 [1 per cell]
Cd: 0.500 0.500 0.500 [1 per cell]
P: 0.000 0.500 0.000 [2 per cell]
S: 0.000 0.000 0.500 [1 per cell]

This record from Alexandria describes an optimized crystal structure of ZnCdP2S. The functional is GGA-PBE.

Calculated values
E_form (uncorrected): 5.92 eV per formula unit

Lattice parameters (Å, degrees): 5.012 5.012 4.998 90.00 90.00 90.00
Space group P4/mmm (No. 123)
Asymmetric unit:
Zn: 0.000 0.000 0.000 [1 per cell]
Cd: 0.500 0.500 0.500 [1 per cell]
P: 0.000 0.500 0.500 [2 per cell]
S: 0.500 0.500 0.000 [1 per cell]

This record from Alexandria describes an optimized crystal structure of Zr2CdPS. The functional is GGA-PBE.

Calculated values
E_form (uncorrected): 4.86 eV per formula unit

Lattice parameters (Å, degrees): 5.366 5.366 4.456 90.00 90.00 90.00
Space group P4/mmm (No. 123)
Asymmetric unit:
Zr: 0.000 0.500 0.000 [2 per cell]
Cd: 0.000 0.000 0.000 [1 per cell]
P: 0.000 0.000 0.500 [1 per cell]
S: 0.500 0.500 0.500 [1 per cell]

This record from Alexandria describes an optimized crystal structure of Cd2SbP. The functional is GGA-PBE.

Calculated values
E_form (uncorrected): 0.63 eV per formula unit

Lattice parameters (Å, degrees): 3.039 3.796 8.190 90.00 92.40 90.00
Space group Pm (No. 6)
Asymmetric unit:
Cd: 0.000 0.000 0.000 [1 per cell]
Cd: 0.495 0.500 0.756 [1 per cell]
Sb: 0.053 0.500 0.305 [1 per cell]
P: 0.061 0.000 0.534 [1 per cell]

This record from Alexandria describes an optimized crystal structure of CdSb2P. The functional is GGA-PBE.

Calculated values
E_form (uncorrected): 0.87 eV per formula unit

Lattice parameters (Å, degrees): 6.292 6.292 13.053 90.00 90.00 90.00
Space group I-42d (No. 122)
Asymmetric unit:
Cd: 0.000 0.000 0.000 [4 per cell]
Sb: 0.222 0.250 0.625 [8 per cell]
P: 0.000 0.000 0.500 [4 per cell]

This record from Alexandria describes an optimized crystal structure of CdSbP2. The functional is GGA-PBE.

Calculated values
E_form (uncorrected): 1.20 eV per formula unit

Lattice parameters (Å, degrees): 5.509 5.509 5.633 90.00 90.00 90.00
Space group I4/mmm (No. 139)
Asymmetric unit:
Cd: 0.000 0.000 0.000 [2 per cell]
Sb: 0.000 0.000 0.500 [2 per cell]
P: 0.000 0.500 0.000 [4 per cell]

This record from Alexandria describes an optimized crystal structure of CdSb2P. The functional is GGA-PBE.

Calculated values
E_form (uncorrected): 1.12 eV per formula unit

Lattice parameters (Å, degrees): 3.572 3.572 7.669 90.00 90.00 90.00
Space group P4mm (No. 99)
Asymmetric unit:
Cd: 0.000 0.000 0.000 [1 per cell]
Sb: 0.000 0.000 0.405 [1 per cell]
Sb: 0.500 0.500 0.751 [1 per cell]
P: 0.500 0.500 0.260 [1 per cell]

This record from Alexandria describes an optimized crystal structure of Cd2SbP2. The functional is GGA-PBE.

Calculated values
E_form (uncorrected): 2.01 eV per formula unit

Lattice parameters (Å, degrees): 4.203 4.203 12.445 90.00 90.00 90.00
Space group I4/mmm (No. 139)
Asymmetric unit:
Cd: 0.000 0.500 0.250 [4 per cell]
Sb: 0.000 0.000 0.000 [2 per cell]
P: 0.000 0.000 0.403 [4 per cell]

This record from Alexandria describes an optimized crystal structure of Cd2SbP2. The functional is GGA-PBE.

Calculated values
E_form (uncorrected): 1.27 eV per formula unit

Lattice parameters (Å, degrees): 7.668 7.668 3.693 90.00 90.00 90.00
Space group P4/mbm (No. 127)
Asymmetric unit:
Cd: 0.134 0.366 0.000 [4 per cell]
Sb: 0.000 0.000 0.500 [2 per cell]
P: 0.181 0.681 0.500 [4 per cell]

This record from Alexandria describes an optimized crystal structure of CdSb2P. The functional is GGA-PBE.

Calculated values
E_form (uncorrected): 0.80 eV per formula unit

Lattice parameters (Å, degrees): 3.026 4.036 8.333 90.00 96.71 90.00
Space group P2/m (No. 10)
Asymmetric unit:
Cd: 0.000 0.000 0.000 [1 per cell]
Sb: 0.086 0.500 0.727 [2 per cell]
P: 0.000 0.000 0.500 [1 per cell]

This record from Alexandria describes an optimized crystal structure of CdSbP2. The functional is GGA-PBE.

Calculated values
E_form (uncorrected): 0.80 eV per formula unit

Lattice parameters (Å, degrees): 11.458 3.180 6.072 90.00 119.55 90.00
Space group Cm (No. 8)
Asymmetric unit:
Cd: 0.000 0.000 0.000 [2 per cell]
Sb: 0.240 0.500 0.004 [2 per cell]
P: 0.058 0.000 0.504 [2 per cell]
P: 0.420 0.000 0.489 [2 per cell]

This record from Alexandria describes an optimized crystal structure of Cd3SbP. The functional is GGA-PBE.

Calculated values
E_form (uncorrected): 0.10 eV per formula unit

Lattice parameters (Å, degrees): 7.105 4.685 9.239 90.00 100.02 90.00
Space group P2_1/m (No. 11)
Asymmetric unit:
Cd: 0.005 0.250 0.112 [2 per cell]
Cd: 0.011 0.750 0.371 [2 per cell]
Cd: 0.468 0.750 0.858 [2 per cell]
Sb: 0.291 0.750 0.155 [2 per cell]
P: 0.166 0.750 0.660 [2 per cell]

This record from Alexandria describes an optimized crystal structure of Cd3SbP. The functional is GGA-PBE.

Calculated values
E_form (uncorrected): 3.79 eV per formula unit

Lattice parameters (Å, degrees): 5.540 5.540 5.540 90.00 90.00 90.00
Space group Pm-3m (No. 221)
Asymmetric unit:
Cd: 0.000 0.000 0.500 [3 per cell]
Sb: 0.000 0.000 0.000 [1 per cell]
P: 0.500 0.500 0.500 [1 per cell]

This record from Alexandria describes an optimized crystal structure of Cd2SbP. The functional is GGA-PBE.

Calculated values
E_form (uncorrected): 1.28 eV per formula unit

Lattice parameters (Å, degrees): 4.201 4.201 5.156 90.00 90.00 90.00
Space group P4/mmm (No. 123)
Asymmetric unit:
Cd: 0.000 0.500 0.000 [2 per cell]
Sb: 0.000 0.000 0.500 [1 per cell]
P: 0.500 0.500 0.500 [1 per cell]

This record from Alexandria describes an optimized crystal structure of CdSb2P. The functional is GGA-PBE.

Calculated values
E_form (uncorrected): 1.45 eV per formula unit

Lattice parameters (Å, degrees): 3.899 5.654 8.766 90.00 90.00 90.00
Space group Cmmm (No. 65)
Asymmetric unit:
Cd: 0.000 0.000 0.000 [2 per cell]
Sb: 0.000 0.500 0.280 [4 per cell]
P: 0.000 0.000 0.500 [2 per cell]

This record from Alexandria describes an optimized crystal structure of CdSb2P. The functional is GGA-PBE.

Calculated values
E_form (uncorrected): 1.52 eV per formula unit

Lattice parameters (Å, degrees): 5.026 5.026 3.672 90.00 90.00 90.00
Space group P4/mmm (No. 123)
Asymmetric unit:
Cd: 0.000 0.000 0.000 [1 per cell]
Sb: 0.000 0.500 0.500 [2 per cell]
P: 0.500 0.500 0.000 [1 per cell]

This record from Alexandria describes an optimized crystal structure of CdSb2P. The functional is GGA-PBE.

Calculated values
E_form (uncorrected): 1.06 eV per formula unit

Lattice parameters (Å, degrees): 3.568 4.655 11.788 90.00 90.00 90.00
Space group Imm2 (No. 44)
Asymmetric unit:
Cd: 0.000 0.000 0.000 [2 per cell]
Sb: 0.000 0.000 0.612 [2 per cell]
Sb: 0.000 0.500 0.813 [2 per cell]
P: 0.000 0.500 0.290 [2 per cell]

This record from Alexandria describes an optimized crystal structure of CdSb2P. The functional is GGA-PBE.

Calculated values
E_form (uncorrected): 1.58 eV per formula unit

Lattice parameters (Å, degrees): 7.182 7.182 7.182 90.00 90.00 90.00
Space group Fm-3m (No. 225)
Asymmetric unit:
Cd: 0.000 0.000 0.000 [4 per cell]
Sb: 0.250 0.250 0.250 [8 per cell]
P: 0.000 0.000 0.500 [4 per cell]

This record from Alexandria describes an optimized crystal structure of Cd2SbP2. The functional is GGA-PBE.

Calculated values
E_form (uncorrected): 1.23 eV per formula unit

Lattice parameters (Å, degrees): 3.419 3.419 18.641 90.00 90.00 90.00
Space group I4/mmm (No. 139)
Asymmetric unit:
Cd: 0.000 0.000 0.117 [4 per cell]
Sb: 0.000 0.000 0.500 [2 per cell]
P: 0.000 0.500 0.250 [4 per cell]

This record from Alexandria describes an optimized crystal structure of Cd4SbP. The functional is GGA-PBE.

Calculated values
E_form (uncorrected): 2.34 eV per formula unit

Lattice parameters (Å, degrees): 8.226 8.226 8.226 90.00 90.00 90.00
Space group F-43m (No. 216)
Asymmetric unit:
Cd: 0.125 0.125 0.125 [16 per cell]
Sb: 0.000 0.000 0.500 [4 per cell]
P: 0.250 0.250 0.750 [4 per cell]

This record from Alexandria describes an optimized crystal structure of Cd2SbP. The functional is GGA-PBE.

Calculated values
E_form (uncorrected): 0.57 eV per formula unit

Lattice parameters (Å, degrees): 4.706 3.948 5.499 90.00 110.44 90.00
Space group P2/m (No. 10)
Asymmetric unit:
Cd: 0.204 0.000 0.273 [2 per cell]
Sb: 0.500 0.500 0.000 [1 per cell]
P: 0.000 0.500 0.500 [1 per cell]

This record from Alexandria describes an optimized crystal structure of Cd2SbP. The functional is GGA-PBE.

Calculated values
E_form (uncorrected): 0.96 eV per formula unit

Lattice parameters (Å, degrees): 3.700 4.142 12.617 90.00 90.00 90.00
Space group Immm (No. 71)
Asymmetric unit:
Cd: 0.000 0.000 0.196 [4 per cell]
Sb: 0.000 0.500 0.000 [2 per cell]
P: 0.000 0.500 0.500 [2 per cell]

This record from Alexandria describes an optimized crystal structure of CdSbP2. The functional is GGA-PBE.

Calculated values
E_form (uncorrected): 0.88 eV per formula unit

Lattice parameters (Å, degrees): 3.201 3.963 14.043 90.00 90.00 90.00
Space group Imm2 (No. 44)
Asymmetric unit:
Cd: 0.000 0.000 0.000 [2 per cell]
Sb: 0.000 0.500 0.162 [2 per cell]
P: 0.000 0.000 0.397 [2 per cell]
P: 0.000 0.500 0.789 [2 per cell]

This record from Alexandria describes an optimized crystal structure of Cd2SbP. The functional is GGA-PBE.

Calculated values
E_form (uncorrected): 0.43 eV per formula unit

Lattice parameters (Å, degrees): 8.590 3.848 6.452 90.00 111.33 90.00
Space group Cm (No. 8)
Asymmetric unit:
Cd: 0.000 0.000 0.000 [2 per cell]
Cd: 0.192 0.000 0.722 [2 per cell]
Sb: 0.287 0.500 0.246 [2 per cell]
P: 0.426 0.000 0.552 [2 per cell]